Record 1
{"formula": "YHoHg2", "functional": "PBE-GGA", "state": "relaxed", "lattice": [[3.635, -5.293, 0.000], [3.635, 5.293, 0.000], [0.000, 0.000, 5.243]], "species": ["Y", "Y", "Ho", "Ho", "Hg", "Hg", "Hg", "Hg"], "fractional_positions": [[0.127, 0.873, 0.750], [0.873, 0.127, 0.250], [0.373, 0.627, 0.250], [0.627, 0.373, 0.750], [0.131, 0.374, 0.750], [0.374, 0.131, 0.250], [0.626, 0.869, 0.750], [0.869, 0.626, 0.250]], "magmom_total_mub_per_fu": 0.010, "dft_energy_ev_per_atom": -3.404, "ef_ev_per_atom": -0.49}


Record 2
{"formula": "BePd2", "functional": "PBE-GGA", "state": "relaxed", "lattice": [[2.769, 0.000, 0.000], [0.000, 2.769, 0.000], [0.000, 0.000, 9.860]], "species": ["Be", "Be", "Pd", "Pd", "Pd", "Pd"], "fractional_positions": [[0.000, 0.000, 0.000], [0.500, 0.500, 0.499], [0.000, 0.000, 0.357], [0.000, 0.000, 0.643], [0.500, 0.500, 0.144], [0.500, 0.500, 0.857]], "dft_energy_ev_per_atom": -5.207, "de_polymorph_mev_per_atom": 0.0}


Record 3
{"formula": "Hf8Tl2C3N3", "functional": "PBE-GGA", "state": "relaxed", "lattice": [[3.289, 0.000, 0.000], [-1.645, 2.849, 0.000], [0.000, 0.000, 25.173]], "species": ["Hf", "Hf", "Hf", "Hf", "Hf", "Hf", "Hf", "Hf", "Tl", "Tl", "C", "C", "C", "N", "N", "N"], "fractional_positions": [[0.000, 0.000, 0.149], [0.000, 0.000, 0.346], [0.000, 0.000, 0.654], [0.000, 0.000, 0.851], [0.333, 0.667, 0.551], [0.333, 0.667, 0.948], [0.667, 0.333, 0.052], [0.667, 0.333, 0.449], [0.333, 0.667, 0.753], [0.667, 0.333, 0.247], [0.000, 0.000, 0.500], [0.333, 0.667, 0.391], [0.667, 0.333, 0.609], [0.000, 0.000, 0.000], [0.333, 0.667, 0.102], [0.667, 0.333, 0.898]], "magmom_total_mub_per_fu": 0.002, "dft_energy_ev_per_atom": -9.630}


Record 4
{"formula": "BaHoW", "functional": "PBE-GGA", "state": "relaxed", "lattice": [[0.000, 3.675, 3.675], [3.675, 0.000, 3.675], [3.675, 3.675, 0.000]], "species": ["Ba", "Ho", "W"], "fractional_positions": [[0.000, 0.000, 0.000], [0.750, 0.750, 0.750], [0.500, 0.500, 0.500]], "magmom_total_mub_per_fu": 2.845, "dft_energy_ev_per_atom": -4.762, "de_polymorph_mev_per_atom": 0.0}


Record 5
{"formula": "SmPuNi", "functional": "PBE-GGA", "state": "relaxed", "lattice": [[0.000, 3.307, 3.307], [3.307, 0.000, 3.307], [3.307, 3.307, 0.000]], "species": ["Sm", "Pu", "Ni"], "fractional_positions": [[0.000, 0.000, 0.000], [0.500, 0.500, 0.500], [0.250, 0.250, 0.250]], "magmom_total_mub_per_fu": 6.517, "dft_energy_ev_per_atom": -8.111, "de_polymorph_mev_per_atom": 0.0, "ef_ev_per_atom": 0.02}


Record 6
{"formula": "NbSbAsO", "functional": "PBE-GGA", "state": "relaxed", "lattice": [[3.454, 0.000, 0.000], [0.000, 6.523, 0.000], [0.000, 0.000, 7.735]], "species": ["Nb", "Nb", "Sb", "Sb", "As", "As", "O", "O"], "fractional_positions": [[0.000, 0.033, 0.000], [0.000, 0.967, 0.500], [0.500, 0.314, 0.565], [0.500, 0.686, 0.065], [0.500, 0.319, 0.923], [0.500, 0.681, 0.423], [0.000, 0.052, 0.250], [0.000, 0.948, 0.750]], "magmom_total_mub_per_fu": 0.002, "dft_energy_ev_per_atom": -6.747, "de_polymorph_mev_per_atom": 0.0}


Record 7
{"formula": "PrI", "functional": "PBE-GGA", "state": "relaxed", "lattice": [[3.936, 0.000, 0.000], [-1.968, 3.409, 0.000], [0.000, 0.000, 4.823]], "species": ["Pr", "I"], "fractional_positions": [[0.000, 0.000, 0.000], [0.333, 0.667, 0.500]], "magmom_total_mub_per_fu": 0.001, "dft_energy_ev_per_atom": -4.108}


Record 8
{"formula": "Hf3ZnPb4", "functional": "PBE-GGA", "state": "relaxed", "lattice": [[5.939, 0.000, 0.000], [0.000, 5.939, 0.000], [0.000, 0.000, 5.939]], "species": ["Hf", "Hf", "Hf", "Zn", "Pb", "Pb", "Pb", "Pb"], "fractional_positions": [[0.000, 0.000, 0.500], [0.000, 0.500, 0.000], [0.500, 0.000, 0.000], [0.500, 0.500, 0.500], [0.000, 0.000, 0.000], [0.000, 0.500, 0.500], [0.500, 0.000, 0.500], [0.500, 0.500, 0.000]], "magmom_total_mub_per_fu": 0.005, "dft_energy_ev_per_atom": -5.449}